*a*
DFT (PBE) results for NaLaOs3 after structural relaxation.

Lattice parameters (Å, degrees): 4.997 4.997 4.997 90.00 90.00 90.00
Positions (direct):
Na: 0.000 0.000 0.000
La: 0.500 0.500 0.500
Os: 0.000 0.500 0.500
Os: 0.500 0.000 0.500
Os: 0.500 0.500 0.000

Results
**Magnetization**: 0.77 μB per atom
**Symmetry**: Pm-3m (221)
**Fermi-level density of states**: 1.058 states/eV per atom


*b*
DFT (PBE) results for NaLaOs3 after structural relaxation.

Lattice parameters (Å, degrees): 4.655 4.655 4.655 90.00 90.00 90.00
Positions (direct):
Na: 0.000 0.000 0.000
La: 0.500 0.500 0.500
Os: 0.000 0.000 0.500
Os: 0.000 0.500 0.000
Os: 0.500 0.000 0.000

Results
**Magnetization**: 0.19 μB per atom
**Symmetry**: Pm-3m (221)
**Fermi-level density of states**: 1.652 states/eV per atom


*b* is the most stable structure; the next one sits 36.4 kJ/mol of atoms above it.


*a*
DFT (PBE) results for NaLaOs2 after structural relaxation.

Lattice parameters (Å, degrees): 6.244 6.244 6.244 99.93 99.93 130.94
Positions (direct):
Na: 0.000 0.000 0.000
Na: 0.750 0.250 0.500
La: 0.250 0.750 0.500
La: 0.500 0.500 0.000
Os: 0.112 0.625 0.987
Os: 0.375 0.362 0.487
Os: 0.638 0.125 0.013
Os: 0.875 0.888 0.513

Results
**Magnetization**: 0.06 μB per atom
**Symmetry**: I-42d (122)
**Fermi-level density of states**: 1.316 states/eV per atom


*b*
DFT (PBE) results for NaLaOs2 after structural relaxation.

Lattice parameters (Å, degrees): 4.784 4.784 4.784 60.00 60.00 60.00
Positions (direct):
Na: 0.000 0.000 0.000
La: 0.500 0.500 0.500
Os: 0.250 0.250 0.250
Os: 0.750 0.750 0.750

Results
**Magnetization**: 0.00 μB per atom
**Symmetry**: Fm-3m (225)
**Fermi-level density of states**: 1.618 states/eV per atom


*a* is the most stable structure; the next one sits 0.8 kJ/mol of atoms above it.


*a*
DFT (PBE) results for NaLaP2S after structural relaxation.

Lattice parameters (Å, degrees): 5.653 5.653 5.535 90.00 90.00 90.00
Positions (direct):
Na: 0.000 0.000 0.000
La: 0.500 0.500 0.500
P: 0.000 0.500 0.500
P: 0.500 0.000 0.500
S: 0.500 0.500 0.000

Results
**Magnetization**: 0.40 μB per atom
**Symmetry**: P4/mmm (123)
**Fermi-level density of states**: 1.259 states/eV per atom


*b*
DFT (PBE) results for NaLaP2S after structural relaxation.

Lattice parameters (Å, degrees): 4.814 4.814 4.886 90.00 90.00 90.00
Positions (direct):
Na: 0.000 0.000 0.000
La: 0.500 0.500 0.500
P: 0.000 0.500 0.000
P: 0.500 0.000 0.000
S: 0.000 0.000 0.500

Results
**Magnetization**: 0.00 μB per atom
**Symmetry**: P4/mmm (123)
**Fermi-level density of states**: 0.704 states/eV per atom


*b* is the most stable structure; the next one sits 2.3 kJ/mol of atoms above it.


*a*
DFT (PBE) results for NaLaPb3 after structural relaxation.

Lattice parameters (Å, degrees): 5.459 5.459 5.459 90.00 90.00 90.00
Positions (direct):
Na: 0.000 0.000 0.000
La: 0.500 0.500 0.500
Pb: 0.000 0.000 0.500
Pb: 0.000 0.500 0.000
Pb: 0.500 0.000 0.000

Results
**Magnetization**: 0.00 μB per atom
**Symmetry**: Pm-3m (221)
**Fermi-level density of states**: 1.026 states/eV per atom


*b*
DFT (PBE) results for NaLaPb3 after structural relaxation.

Lattice parameters (Å, degrees): 6.179 6.179 6.179 90.00 90.00 90.00
Positions (direct):
Na: 0.000 0.000 0.000
La: 0.500 0.500 0.500
Pb: 0.000 0.500 0.500
Pb: 0.500 0.000 0.500
Pb: 0.500 0.500 0.000

Results
**Magnetization**: 0.00 μB per atom
**Symmetry**: Pm-3m (221)
**Fermi-level density of states**: 0.949 states/eV per atom


*a* is the most stable structure; the next one sits 21.1 kJ/mol of atoms above it.


*a*
DFT (PBE) results for NaLaSnPb after structural relaxation.

Lattice parameters (Å, degrees): 4.718 4.911 5.004 90.00 90.00 90.00
Positions (direct):
Na: 0.000 0.000 0.000
La: 0.000 0.500 0.500
Sn: 0.500 0.000 0.500
Pb: 0.500 0.500 0.000

Results
**Magnetization**: 0.00 μB per atom
**Symmetry**: Pmmm (47)
**Fermi-level density of states**: 0.350 states/eV per atom


*b*
DFT (PBE) results for NaLaSnPb after structural relaxation.

Lattice parameters (Å, degrees): 5.526 5.526 5.526 60.00 60.00 60.00
Positions (direct):
Na: 0.000 0.000 0.000
La: 0.500 0.500 0.500
Sn: 0.250 0.250 0.250
Pb: 0.750 0.750 0.750

Results
**Magnetization**: 0.00 μB per atom
**Symmetry**: F-43m (216)
**Fermi-level density of states**: 0.810 states/eV per atom


*a* is the most stable structure; the next one sits 9.5 kJ/mol of atoms above it.


*a*
DFT (PBE) results for NaLaPd3 after structural relaxation.

Lattice parameters (Å, degrees): 4.761 4.761 4.761 90.00 90.00 90.00
Positions (direct):
Na: 0.000 0.000 0.000
La: 0.500 0.500 0.500
Pd: 0.000 0.000 0.500
Pd: 0.000 0.500 0.000
Pd: 0.500 0.000 0.000

Results
**Magnetization**: 0.00 μB per atom
**Symmetry**: Pm-3m (221)
**Fermi-level density of states**: 0.526 states/eV per atom


*b*
DFT (PBE) results for NaLaPd3 after structural relaxation.

Lattice parameters (Å, degrees): 5.287 5.287 5.287 90.00 90.00 90.00
Positions (direct):
Na: 0.000 0.000 0.000
La: 0.500 0.500 0.500
Pd: 0.000 0.500 0.500
Pd: 0.500 0.000 0.500
Pd: 0.500 0.500 0.000

Results
**Magnetization**: 0.00 μB per atom
**Symmetry**: Pm-3m (221)
**Fermi-level density of states**: 0.638 states/eV per atom


*a* is the most stable structure; the next one sits 23.4 kJ/mol of atoms above it.